[1]
DFT (PBE) results for a relaxed DyHfPd2 crystal.

Calculated values
The calculation puts the polymorph energy (0 for the lowest one) at 0.0000 eV/atom. As for the symmetry: P4/mmm (123). For the formation energy, the calculation gives -0.7464 eV/atom. As for the calculated total energy: -6.98 eV/atom. The volume is 80.6 Å³ per cell. The total magnetization is 0.00 μB per formula unit.

Cell: 3.388 3.388 7.020 Å, 90.00 90.00 90.00°
Element x y z (fractional)
Dy1 0.000 0.000 0.000
Hf1 0.000 0.000 0.500
Pd1 0.500 0.500 0.285
Pd2 0.500 0.500 0.715

[2]
DFT (PBE) results for a relaxed CsLa2BeF crystal.

Calculated values
As for the symmetry: P4/mmm (123). As for the energy relative to the elements, uncorrected: 2.8 eV/f.u. As for the calculated total energy: -2.71 eV/atom. The volume is 177.2 Å³ per cell. The total magnetization is 0.00 μB per formula unit.

Cell: 6.121 6.121 4.728 Å, 90.00 90.00 90.00°
Element x y z (fractional)
Cs1 0.000 0.000 0.000
La1 0.000 0.500 0.000
La2 0.500 0.000 0.000
Be1 0.500 0.500 0.500
F1 0.000 0.000 0.500

[3]
DFT (PBE) results for a relaxed Cu2Pt crystal.

Calculated values
The calculation puts the polymorph energy (0 for the lowest one) at 0.0921 eV/atom. As for the symmetry: Fd-3m (227). For the formation energy, the calculation gives -0.0535 eV/atom. As for the calculated total energy: -4.80 eV/atom. The volume is 78.4 Å³ per cell. The total magnetization is 0.00 μB per formula unit.

Cell: 4.804 4.804 4.804 Å, 60.00 60.00 60.00°
Element x y z (fractional)
Cu1 0.000 0.000 0.000
Cu2 0.000 0.000 0.500
Cu3 0.000 0.500 0.000
Cu4 0.500 0.000 0.000
Pt1 0.375 0.375 0.375
Pt2 0.625 0.625 0.625

[4]
DFT (PBE) results for a relaxed Cs3SrCd2Cl9 crystal.

Calculated values
As for the symmetry: P-3m1 (164). As for the energy relative to the elements, uncorrected: -26.2 eV/f.u. As for the calculated total energy: -3.26 eV/atom. The volume is 486.3 Å³ per cell. The total magnetization is 0.00 μB per formula unit.

Cell: 7.693 7.693 9.488 Å, 90.00 90.00 120.00°
Element x y z (fractional)
Cs1 0.000 0.000 0.000
Cs2 0.333 0.667 0.677
Cs3 0.667 0.333 0.323
Sr1 0.000 0.000 0.500
Cd1 0.333 0.667 0.159
Cd2 0.667 0.333 0.841
Cl1 0.000 0.500 0.000
Cl2 0.172 0.345 0.322
Cl3 0.172 0.828 0.322
Cl4 0.345 0.172 0.678
Cl5 0.500 0.000 0.000
Cl6 0.500 0.500 0.000
Cl7 0.655 0.828 0.322
Cl8 0.828 0.172 0.678
Cl9 0.828 0.655 0.678

[5]
DFT (PBE) results for a relaxed LiTiPb2O6 crystal.

Calculated values
As for the symmetry: R3 (146). As for the energy relative to the elements, uncorrected: -16.7 eV/f.u. As for the calculated total energy: -6.37 eV/atom. The volume is 134.6 Å³ per cell. The total magnetization is 0.00 μB per formula unit.

Cell: 6.018 6.018 6.018 Å, 54.56 54.56 54.56°
Element x y z (fractional)
Li1 0.000 0.000 0.000
Ti1 0.538 0.538 0.538
Pb1 0.243 0.243 0.243
Pb2 0.747 0.747 0.747
O1 0.203 0.434 0.807
O2 0.341 0.916 0.638
O3 0.434 0.807 0.203
O4 0.638 0.341 0.916
O5 0.807 0.203 0.434
O6 0.916 0.638 0.341

[6]
DFT (PBE) results for a relaxed Ba3ZrPb2O8 crystal.

Calculated values
As for the symmetry: P-3m1 (164). As for the energy relative to the elements, uncorrected: -28.9 eV/f.u. As for the calculated total energy: -6.45 eV/atom. The volume is 267.9 Å³ per cell. The total magnetization is 0.00 μB per formula unit.

Cell: 6.191 6.191 8.073 Å, 90.00 90.00 120.00°
Element x y z (fractional)
Ba1 0.000 0.000 0.000
Ba2 0.333 0.667 0.626
Ba3 0.667 0.333 0.374
Zr1 0.000 0.000 0.500
Pb1 0.333 0.667 0.194
Pb2 0.667 0.333 0.806
O1 0.158 0.315 0.343
O2 0.158 0.842 0.343
O3 0.315 0.158 0.657
O4 0.333 0.667 0.929
O5 0.667 0.333 0.071
O6 0.685 0.842 0.343
O7 0.842 0.158 0.657
O8 0.842 0.685 0.657

Question: The lowest calculated total energy belongs to which entry?
Answer: DyHfPd2

Question: calculated total energy of number 5 (LiTiPb2O6)?
Answer: -6.37 eV/atom

Question: The lowest calculated total energy belongs to which entry?
Answer: DyHfPd2